[1]
DFT (PBE) results for an optimized crystal structure of Sr2MnCr.

It has space group Fm-3m (No. 225), with a = 7.949 Å, b = 7.949 Å, c = 7.949 Å, α = 90.00°, β = 90.00° and γ = 90.00°. The distinct sites, in fractional coordinates, are Sr at (0.250, 0.250, 0.250), Mn at (0.000, 0.000, 0.000) and Cr at (0.000, 0.000, 0.500).

The density of states at the Fermi level comes out at 4.982 states/eV/f.u. The calculation puts the formation energy at 0.736 eV/atom. The value obtained for the energy above the most stable polymorph in this dataset is 259 meV per atom.

=====

[2]
DFT (PBE) results for an optimized crystal structure of CeNd4Tl2.

It has space group R-3m (No. 166, hexagonal axes), with a = 5.5703 Å, b = 5.5703 Å, c = 27.4332 Å, α = 90.00°, β = 90.00° and γ = 120.00°. The distinct sites, in fractional coordinates, are Ce at (0.0000, 0.0000, 0.0000), Nd at (0.0000, 0.0000, 0.2324), Nd at (0.0000, 0.0000, 0.3685) and Tl at (0.0000, 0.0000, 0.1151).

The density of states at the Fermi level comes out at 13.852 states/eV/f.u. The calculation puts the formation energy at 0.053 eV/atom. The value obtained for the energy above the most stable polymorph in this dataset is 0 meV per atom.

=====

[3]
DFT (PBE) results for an optimized crystal structure of KYTe2N.

It has space group P4/mmm (No. 123), with a = 6.063 Å, b = 6.063 Å, c = 4.616 Å, α = 90.00°, β = 90.00° and γ = 90.00°. The distinct sites, in fractional coordinates, are K at (0.000, 0.000, 0.000), Y at (0.500, 0.500, 0.500), Te at (0.000, 0.500, 0.500) and N at (0.500, 0.500, 0.000).

The density of states at the Fermi level comes out at 4.603 states/eV/f.u. The value obtained for the energy above the most stable polymorph in this dataset is 0 meV per atom.

=====

[4]
DFT (PBE) results for an optimized crystal structure of CsSc2CrBr8.

It has space group R-3 (No. 148, hexagonal axes), with a = 7.0573 Å, b = 7.0573 Å, c = 30.5723 Å, α = 90.00°, β = 90.00° and γ = 120.00°. The distinct sites, in fractional coordinates, are Cs at (0.0000, 0.0000, 0.0000), Sc at (0.0000, 0.0000, 0.2418), Cr at (0.0000, 0.0000, 0.5000), Br at (0.0000, 0.0000, 0.3237) and Br at (0.0071, 0.6845, 0.5534).

For the calculated total energy, the calculation gives -159.15 eV for the cell shown.

=====

[5]
DFT (PBE) results for an optimized crystal structure of SrIn2Se2.

It has space group P4/mbm (No. 127), with a = 8.279 Å, b = 8.279 Å, c = 4.496 Å, α = 90.00°, β = 90.00° and γ = 90.00°. The distinct sites, in fractional coordinates, are Sr at (0.000, 0.000, 0.000), In at (0.131, 0.369, 0.500) and Se at (0.186, 0.686, 0.000).

The density of states at the Fermi level comes out at 1.311 states/eV/f.u. The value obtained for the energy above the most stable polymorph in this dataset is 49 meV per atom.

=====

[6]
DFT (PBE) results for an optimized crystal structure of NaTb2Cd4.

It has space group R-3m (No. 166, hexagonal axes), with a = 5.2720 Å, b = 5.2720 Å, c = 22.3439 Å, α = 90.00°, β = 90.00° and γ = 120.00°. The distinct sites, in fractional coordinates, are Na at (0.0000, 0.0000, 0.0000), Tb at (0.0000, 0.0000, 0.2743), Cd at (0.0000, 0.0000, 0.1309) and Cd at (0.0000, 0.0000, 0.4238).

The density of states at the Fermi level comes out at 3.598 states/eV/f.u. The calculation puts the formation energy at -0.055 eV/atom.

=====

[7]
DFT (PBE) results for an optimized crystal structure of KCl.

It has space group P-6m2 (No. 187), with a = 4.3774 Å, b = 4.3774 Å, c = 3.9239 Å, α = 90.00°, β = 90.00° and γ = 120.00°. The distinct sites, in fractional coordinates, are K at (0.0000, 0.0000, 0.0000) and Cl at (0.3333, 0.6667, 0.5000).

The density of states at the Fermi level comes out at 0.000 states/eV/f.u. For the calculated total energy, the calculation gives -6.76 eV for the cell shown.

=====

[8]
DFT (PBE) results for an optimized crystal structure of ZnCo2Hg.

It has space group I4/mmm (No. 139), with a = 3.862 Å, b = 3.862 Å, c = 7.549 Å, α = 90.00°, β = 90.00° and γ = 90.00°. The distinct sites, in fractional coordinates, are Zn at (0.000, 0.000, 0.000), Co at (0.000, 0.500, 0.250) and Hg at (0.000, 0.000, 0.500).

The density of states at the Fermi level comes out at 7.901 states/eV/f.u. The calculation puts the formation energy at 0.330 eV/atom.

=====

[9]
DFT (PBE) results for an optimized crystal structure of LaTb4In5.

It has space group P4/mmm (No. 123), with a = 3.797 Å, b = 3.797 Å, c = 19.158 Å, α = 90.00°, β = 90.00° and γ = 90.00°. The distinct sites, in fractional coordinates, are La at (0.000, 0.000, 0.000), Tb at (0.000, 0.000, 0.208), Tb at (0.000, 0.000, 0.403), In at (0.500, 0.500, 0.111), In at (0.500, 0.500, 0.305) and In at (0.500, 0.500, 0.500).

The density of states at the Fermi level comes out at 5.150 states/eV/f.u. The calculation puts the formation energy at -0.487 eV/atom.

=====

[10]
DFT (PBE) results for an optimized crystal structure of LaPm3Ho2S6.

It has space group C2/m (No. 12), with a = 6.929 Å, b = 12.033 Å, c = 6.938 Å, α = 90.00°, β = 109.56° and γ = 90.00°. The distinct sites, in fractional coordinates, are La at (0.000, 0.000, 0.000), Pm at (0.000, 0.162, 0.500), Pm at (0.000, 0.500, 0.500), Ho at (0.000, 0.333, 0.000), S at (0.234, 0.500, 0.239) and S at (0.246, 0.327, 0.755).

The density of states at the Fermi level comes out at 5.166 states/eV/f.u. For the calculated total energy, the calculation gives -155.04 eV for the cell shown.

=====

[11]
DFT (PBE) results for an optimized crystal structure of RbDyScTe3.

It has space group P2_1/m (No. 11), with a = 9.909 Å, b = 4.592 Å, c = 10.872 Å, α = 90.00°, β = 109.07° and γ = 90.00°. The distinct sites, in fractional coordinates, are Rb at (0.209, 0.250, 0.236), Dy at (0.338, 0.750, 0.866), Sc at (0.085, 0.250, 0.608), Te at (0.120, 0.250, 0.873), Te at (0.218, 0.750, 0.548) and Te at (0.464, 0.750, 0.161).

The density of states at the Fermi level comes out at 2.831 states/eV/f.u. For the calculated total energy, the calculation gives -57.23 eV for the cell shown.

=====

[12]
DFT (PBE) results for an optimized crystal structure of LaPmTmTh2.

It has space group Cmcm (No. 63), with a = 6.734 Å, b = 15.730 Å, c = 6.745 Å, α = 90.00°, β = 90.00° and γ = 90.00°. The distinct sites, in fractional coordinates, are La at (0.000, 0.245, 0.250), Pm at (0.000, 0.349, 0.750), Tm at (0.000, 0.150, 0.750) and Th at (0.248, 0.000, 0.000).

The density of states at the Fermi level comes out at 7.856 states/eV/f.u. The calculation puts the formation energy at 0.349 eV/atom.

=====

[13]
DFT (PBE) results for an optimized crystal structure of Pr4AsIrCl2.

It has space group P2/m (No. 10), with a = 7.513 Å, b = 4.149 Å, c = 7.636 Å, α = 90.00°, β = 108.10° and γ = 90.00°. The distinct sites, in fractional coordinates, are Pr at (0.211, 0.000, 0.220), Pr at (0.222, 0.500, 0.749), As at (0.000, 0.000, 0.500), Ir at (0.000, 0.500, 0.000), Cl at (0.500, 0.000, 0.000) and Cl at (0.500, 0.500, 0.500).

The density of states at the Fermi level comes out at 6.105 states/eV/f.u. For the calculated total energy, the calculation gives -46.89 eV for the cell shown.

=====

[14]
DFT (PBE) results for an optimized crystal structure of TbNiAg.

It has space group P-6m2 (No. 187), with a = 4.4158 Å, b = 4.4158 Å, c = 3.5664 Å, α = 90.00°, β = 90.00° and γ = 120.00°. The distinct sites, in fractional coordinates, are Tb at (0.0000, 0.0000, 0.0000), Ni at (0.3333, 0.6667, 0.5000) and Ag at (0.6667, 0.3333, 0.5000).

The density of states at the Fermi level comes out at 1.720 states/eV/f.u. The calculation puts the formation energy at -0.217 eV/atom.

=====

[15]
DFT (PBE) results for an optimized crystal structure of Na2PmInO4.

It has space group P2/m (No. 10), with a = 5.862 Å, b = 3.439 Å, c = 5.973 Å, α = 90.00°, β = 109.39° and γ = 90.00°. The distinct sites, in fractional coordinates, are Na at (0.000, 0.000, 0.000), Na at (0.500, 0.500, 0.000), Pm at (0.000, 0.500, 0.500), In at (0.500, 0.000, 0.500), O at (0.248, 0.000, 0.719) and O at (0.275, 0.500, 0.284).

The density of states at the Fermi level comes out at 0.000 states/eV/f.u. For the calculated total energy, the calculation gives -46.75 eV for the cell shown.

=====

[16]
DFT (PBE) results for an optimized crystal structure of ScAsCl2.

It has space group Cm (No. 8), with a = 13.296 Å, b = 3.178 Å, c = 6.695 Å, α = 90.00°, β = 118.68° and γ = 90.00°. The distinct sites, in fractional coordinates, are Sc at (0.000, 0.000, 0.000), As at (0.172, 0.500, 0.350), Cl at (0.015, 0.500, 0.731) and Cl at (0.362, 0.000, 0.019).

The density of states at the Fermi level comes out at 4.060 states/eV/f.u. The value obtained for the energy above the most stable polymorph in this dataset is 34 meV per atom.

=====

[17]
DFT (PBE) results for an optimized crystal structure of LaBiPd3.

It has space group Imma (No. 74), with a = 5.647 Å, b = 8.054 Å, c = 9.596 Å, α = 90.00°, β = 90.00° and γ = 90.00°. The distinct sites, in fractional coordinates, are La at (0.000, 0.250, 0.003), Bi at (0.000, 0.000, 0.500), Pd at (0.000, 0.250, 0.701) and Pd at (0.250, 0.066, 0.250).

The density of states at the Fermi level comes out at 3.855 states/eV/f.u. The calculation puts the formation energy at -0.568 eV/atom. The value obtained for the energy above the most stable polymorph in this dataset is 0 meV per atom.

=====

[18]
DFT (PBE) results for an optimized crystal structure of Sr2HfIn.

It has space group I-42d (No. 122), with a = 9.124 Å, b = 9.124 Å, c = 6.540 Å, α = 90.00°, β = 90.00° and γ = 90.00°. The distinct sites, in fractional coordinates, are Sr at (0.230, 0.750, 0.125), Hf at (0.000, 0.000, 0.500) and In at (0.000, 0.000, 0.000).

The density of states at the Fermi level comes out at 3.248 states/eV/f.u. The calculation puts the formation energy at 0.602 eV/atom.

=====

[19]
DFT (PBE) results for an optimized crystal structure of K2Ba2Cl.

It has space group P4/mbm (No. 127), with a = 8.428 Å, b = 8.428 Å, c = 8.561 Å, α = 90.00°, β = 90.00° and γ = 90.00°. The distinct sites, in fractional coordinates, are K at (0.183, 0.317, 0.000), Ba at (0.180, 0.680, 0.500) and Cl at (0.000, 0.000, 0.000).

The density of states at the Fermi level comes out at 5.310 states/eV/f.u. The value obtained for the energy above the most stable polymorph in this dataset is 128 meV per atom.

=====

[20]
DFT (PBE) results for an optimized crystal structure of Pm2Nd4Ge3H2.

It has space group I4/mmm (No. 139), with a = 4.683 Å, b = 4.683 Å, c = 24.444 Å, α = 90.00°, β = 90.00° and γ = 90.00°. The distinct sites, in fractional coordinates, are Pm at (0.000, 0.000, 0.203), Nd at (0.000, 0.500, 0.081), Ge at (0.000, 0.000, 0.327), Ge at (0.000, 0.000, 0.500) and H at (0.000, 0.000, 0.103).

The density of states at the Fermi level comes out at 10.299 states/eV/f.u. For the calculated total energy, the calculation gives -110.60 eV for the cell shown.

=====

[21]
DFT (PBE) results for an optimized crystal structure of KZrTl.

It has space group P6_3/mmc (No. 194), with a = 5.5074 Å, b = 5.5074 Å, c = 6.2787 Å, α = 90.00°, β = 90.00° and γ = 120.00°. The distinct sites, in fractional coordinates, are K at (0.0000, 0.0000, 0.0000), Zr at (0.3333, 0.6667, 0.2500) and Tl at (0.3333, 0.6667, 0.7500).

The density of states at the Fermi level comes out at 0.710 states/eV/f.u. The calculation puts the formation energy at 0.468 eV/atom. The value obtained for the energy above the most stable polymorph in this dataset is 445 meV per atom.

=====

[22]
DFT (PBE) results for an optimized crystal structure of EuYInCu.

It has space group F-43m (No. 216), with a = 7.460 Å, b = 7.460 Å, c = 7.460 Å, α = 90.00°, β = 90.00° and γ = 90.00°. The distinct sites, in fractional coordinates, are Eu at (0.000, 0.000, 0.000), Y at (0.000, 0.000, 0.500), In at (0.250, 0.250, 0.750) and Cu at (0.250, 0.250, 0.250).

The density of states at the Fermi level comes out at 9.657 states/eV/f.u. The calculation puts the formation energy at -0.247 eV/atom.

=====

[23]
DFT (PBE) results for an optimized crystal structure of Cs2RbTl.

It has space group P4/mmm (No. 123), with a = 4.851 Å, b = 4.851 Å, c = 12.072 Å, α = 90.00°, β = 90.00° and γ = 90.00°. The distinct sites, in fractional coordinates, are Cs at (0.000, 0.000, 0.186), Rb at (0.500, 0.500, 0.500) and Tl at (0.500, 0.500, 0.000).

The density of states at the Fermi level comes out at 4.984 states/eV/f.u. The calculation puts the formation energy at 0.028 eV/atom. The value obtained for the energy above the most stable polymorph in this dataset is 63 meV per atom.

=====

[24]
DFT (PBE) results for an optimized crystal structure of ThNiH8Rh2.

It has space group R-3 (No. 148, hexagonal axes), with a = 4.6443 Å, b = 4.6443 Å, c = 16.2209 Å, α = 90.00°, β = 90.00° and γ = 120.00°. The distinct sites, in fractional coordinates, are Th at (0.0000, 0.0000, 0.0000), Ni at (0.0000, 0.0000, 0.5000), H at (0.0000, 0.0000, 0.3185), H at (0.0029, 0.6285, 0.2161) and Rh at (0.0000, 0.0000, 0.2150).

The density of states at the Fermi level comes out at 4.126 states/eV/f.u. For the calculated total energy, the calculation gives -172.35 eV for the cell shown.

=====

[25]
DFT (PBE) results for an optimized crystal structure of LiCuMo.

It has space group P-1 (No. 2), with a = 2.521 Å, b = 5.618 Å, c = 6.280 Å, α = 98.69°, β = 97.20° and γ = 101.41°. The distinct sites, in fractional coordinates, are Li at (0.226, 0.067, 0.328), Cu at (0.408, 0.240, 0.988) and Mo at (0.123, 0.543, 0.316).

The density of states at the Fermi level comes out at 1.081 states/eV/f.u. The calculation puts the formation energy at 0.225 eV/atom. The value obtained for the energy above the most stable polymorph in this dataset is 66 meV per atom.

=====

no.,size of the total moment (μB per formula unit)
1,8.74
2,1.78
3,2.55
4,5.00
5,0.00
6,0.00
7,0.00
8,2.36
9,0.00
10,0.00
11,0.27
12,0.00
13,0.00
14,0.00
15,0.00
16,0.34
17,0.00
18,0.99
19,0.01
20,0.00
21,0.00
22,6.83
23,0.37
24,0.00
25,0.00